Computed, not measured: a relaxed Nd2Y5TmSc crystal at the PBE level of DFT.

a = 9.982 Å, b = 9.982 Å, c = 9.982 Å
α = 129.72°, β = 129.72°, γ = 73.86°
Fractional positions:
1 Nd 0.120 0.620 0.740
2 Nd 0.380 0.120 0.500
3 Nd 0.620 0.880 0.500
4 Nd 0.880 0.380 0.260
5 Y 0.000 0.000 0.000
6 Y 0.067 0.146 0.500
7 Y 0.146 0.646 0.079
8 Y 0.354 0.433 0.500
9 Y 0.433 0.933 0.079
10 Y 0.500 0.500 0.000
11 Y 0.567 0.067 0.921
12 Y 0.646 0.567 0.500
13 Y 0.854 0.354 0.921
14 Y 0.933 0.854 0.500
15 Tm 0.250 0.250 0.000
16 Tm 0.750 0.750 0.000
17 Sc 0.250 0.750 0.500
18 Sc 0.750 0.250 0.500

Values from the calculation:
crystal system	tetragonal
energy of formation	2.377	eV/f.u.
calculated total energy	-5.587	eV per atom



Computed, not measured: a relaxed Y3MgN crystal at the PBE level of DFT.

a = 6.146 Å, b = 6.146 Å, c = 6.146 Å
α = 114.79°, β = 114.79°, γ = 114.79°
Fractional positions:
1 Y 0.208 0.208 0.583
2 Y 0.208 0.583 0.208
3 Y 0.583 0.208 0.208
4 Mg 0.838 0.838 0.838
5 N 0.341 0.341 0.341

Values from the calculation:
crystal system	trigonal
calculated total energy	-6.149	eV per atom
formation energy from raw total energies	-286	meV per atom



| no. | total magnetic moment (μB per formula unit) |
| --- | --- |
| 1 | 0.000 |
| 2 | 0.000 |